First-principles (PBE) data for a geometry-optimized HfZrNb2Ir structure, as listed in Alexandria via LeMat-Bulk.

Results
ΔE_f in eV per atom: 0.65
Size of the total moment in μB/f.u.: 0.00

Lattice parameters (Å, degrees): 4.8962 4.9809 4.8962 90.00 90.00 90.00
Atoms (fractional coordinates):
1 Nb 0.0000 0.0000 0.5000
2 Nb 0.5000 0.0000 0.0000
3 Ir 0.0000 0.0000 0.0000
4 Hf 0.5000 0.5000 0.5000
5 Zr 0.0000 0.5000 0.0000